#w
Crystalline V3S at its relaxed geometry, computed with PBE-GGA.

Symmetry: Imm2, No. 44
Crystal system: orthorhombic

Cell: 4.5821 4.5821 4.5821 Å, 140.29 76.03 118.16°
Closest atoms and distances in Å follow each position.
Element x y z (fractional)
V: 0.0000 0.0000 0.0000  2 S 2.33, 4 V 2.59
V: 0.3345 0.5490 0.7854  3 S 2.36-2.55, 3 V 2.59-2.63
V: 0.7636 0.5490 0.2146  3 S 2.36-2.55, 3 V 2.59-2.63
S: 0.3682 0.8682 0.5000  8 V 2.33-2.55



#x
Crystalline V3S at its relaxed geometry, computed with PBE-GGA.

Symmetry: P4_2/nbc, No. 133
Crystal system: tetragonal

Cell: 9.3326 9.3326 4.6360 Å, 90.00 90.00 90.00°
Closest atoms and distances in Å follow each position.
Element x y z (fractional)
V: 0.0478 0.0478 0.2500  2 S 2.36, 4 V 2.62-2.64
V: 0.0478 0.4522 0.7500  2 S 2.36, 4 V 2.62-2.64
V: 0.1029 0.7500 0.0000  4 S 2.39, 2 V 2.62
V: 0.1599 0.1599 0.7500  2 S 2.36, 1 V 2.38
V: 0.1599 0.3401 0.2500  2 S 2.36, 1 V 2.38
V: 0.2500 0.6029 0.5000  4 S 2.39, 2 V 2.62
V: 0.2500 0.8971 0.5000  4 S 2.39, 2 V 2.62
V: 0.3401 0.1599 0.2500  2 S 2.36, 1 V 2.38
V: 0.3401 0.3401 0.7500  2 S 2.36, 1 V 2.38
V: 0.3971 0.7500 0.0000  4 S 2.39, 2 V 2.62
V: 0.4522 0.0478 0.7500  2 S 2.36, 4 V 2.62-2.64
V: 0.4522 0.4522 0.2500  2 S 2.36, 4 V 2.62-2.64
V: 0.5478 0.5478 0.7500  2 S 2.36, 4 V 2.62-2.64
V: 0.5478 0.9522 0.2500  2 S 2.36, 4 V 2.62-2.64
V: 0.6029 0.2500 0.0000  4 S 2.39, 2 V 2.62
V: 0.6599 0.6599 0.2500  2 S 2.36, 1 V 2.38
V: 0.6599 0.8401 0.7500  2 S 2.36, 1 V 2.38
V: 0.7500 0.1029 0.5000  4 S 2.39, 2 V 2.62
V: 0.7500 0.3971 0.5000  4 S 2.39, 2 V 2.62
V: 0.8401 0.6599 0.7500  2 S 2.36, 1 V 2.38
V: 0.8401 0.8401 0.2500  2 S 2.36, 1 V 2.38
V: 0.8971 0.2500 0.0000  4 S 2.39, 2 V 2.62
V: 0.9522 0.5478 0.2500  2 S 2.36, 4 V 2.62-2.64
V: 0.9522 0.9522 0.7500  2 S 2.36, 4 V 2.62-2.64
S: 0.0406 0.7500 0.5000  8 V 2.36-2.39
S: 0.2500 0.5406 0.0000  8 V 2.36-2.39
S: 0.2500 0.9594 0.0000  8 V 2.36-2.39
S: 0.4594 0.7500 0.5000  8 V 2.36-2.39
S: 0.5406 0.2500 0.5000  8 V 2.36-2.39
S: 0.7500 0.0406 0.0000  8 V 2.36-2.39
S: 0.7500 0.4594 0.0000  8 V 2.36-2.39
S: 0.9594 0.2500 0.5000  8 V 2.36-2.39



#y
Crystalline V3S at its relaxed geometry, computed with PBE-GGA.

Symmetry: P2_1/m, No. 11
Crystal system: monoclinic

Cell: 5.0326 3.1333 6.7491 Å, 90.00 99.97 90.00°
Closest atoms and distances in Å follow each position.
Element x y z (fractional)
V: 0.0726 0.2500 0.3563  2 S 2.33, 1 V 2.36
V: 0.2418 0.2500 0.9404  2 S 2.30
V: 0.3943 0.7500 0.6359  2 S 2.35, 1 V 2.36
V: 0.6057 0.2500 0.3641  2 S 2.35, 1 V 2.36
V: 0.7582 0.7500 0.0596  2 S 2.30
V: 0.9274 0.7500 0.6437  2 S 2.33, 1 V 2.36
S: 0.3014 0.7500 0.1929  6 V 2.30-2.35
S: 0.6986 0.2500 0.8071  6 V 2.30-2.35



Stability ranking, top entry: #x; the second entry is 168 meV/atom less favorable.